Compound: Sc2Hg2S
Source: Alexandria via LeMat-Bulk
Functional: PBE-GGA
Structure: optimized geometry

```
Sc2Hg2S
1.0
6.8189 0.0000 0.0000
0.0000 6.8189 0.0000
0.0000 0.0000 4.8386
Sc Hg S
4 4 2
Cartesian
1.1652 2.2443 0.0000
2.2443 5.6538 0.0000
4.5746 1.1652 0.0000
5.6538 4.5746 0.0000
1.0129 4.4224 2.4193
2.3966 1.0129 2.4193
4.4224 5.8060 2.4193
5.8060 2.3966 2.4193
0.0000 0.0000 0.0000
3.4095 3.4095 0.0000
```

Properties
- Total magnetic moment: 0.0000 μB/atom
- Offset from the most stable computed form: 162 meV per atom
- Symmetry: P4/mbm, No. 127
- Raw total energy: -4.2371 eV/atom